[1]
Compound: RbY2CuPt
Source: Alexandria
Functional: PBE-GGA
Structure: relaxed

* calculated formation energy: 100 kJ/mol of formula units
* symmetry: No. 123

abc: 5.383 6.404 5.383
angles: 90.00 90.00 90.00
Fractional coordinates of all 5 atoms:
Y 0.500 0.000 0.000
Rb 0.000 0.500 0.000
Cu 0.500 0.500 0.500
Y 0.000 0.000 0.500
Pt 0.000 0.000 0.000

[2]
Compound: CuRePt
Source: Alexandria
Functional: PBE-GGA
Structure: relaxed

* calculated formation energy: 25 kJ/mol of formula units
* symmetry: No. 160

abc: 2.756 2.756 19.752
angles: 90.00 90.00 120.00
Fractional coordinates of all 9 atoms:
Cu 0.667 0.333 0.201
Cu 0.000 0.000 0.868
Pt 0.000 0.000 0.646
Re 0.000 0.000 0.425
Re 0.333 0.667 0.092
Cu 0.333 0.667 0.534
Pt 0.333 0.667 0.313
Pt 0.667 0.333 0.980
Re 0.667 0.333 0.759

[3]
Compound: CuRe2Pt
Source: Alexandria
Functional: PBE-GGA
Structure: relaxed

* calculated formation energy: 10 kJ/mol of formula units
* symmetry: No. 160

abc: 9.023 9.023 9.023
angles: 17.60 17.60 17.60
Fractional coordinates of all 4 atoms:
Pt 0.752 0.752 0.752
Re 0.250 0.250 0.250
Cu 0.500 0.500 0.500
Re 0.997 0.997 0.997

[4]
Compound: CuRePt2
Source: Alexandria
Functional: PBE-GGA
Structure: relaxed

* calculated formation energy: 106 kJ/mol of formula units
* symmetry: No. 47

abc: 2.709 4.718 4.690
angles: 90.00 90.00 90.00
Each line ends with the local moment (μB).
Fractional coordinates of all 4 atoms:
Re 0.500 0.000 0.500  0.43
Pt 0.000 0.000 0.000  0.08
Pt 0.500 0.500 0.000  0.05
Cu 0.000 0.500 0.500  0.04

[5]
Compound: CuRePt
Source: Alexandria
Functional: PBE-GGA
Structure: relaxed

* calculated formation energy: 15 kJ/mol of formula units
* symmetry: No. 63

abc: 4.043 10.972 3.888
angles: 90.00 90.00 90.00
Fractional coordinates of all 12 atoms:
Re 0.500 0.576 0.750
Re 0.500 0.424 0.250
Pt 0.500 0.913 0.750
Pt 0.500 0.087 0.250
Pt 0.000 0.413 0.750
Cu 0.000 0.748 0.750
Cu 0.500 0.752 0.250
Re 0.000 0.924 0.250
Cu 0.500 0.248 0.750
Cu 0.000 0.252 0.250
Re 0.000 0.076 0.750
Pt 0.000 0.587 0.250

[6]
Compound: CuRePt
Source: Alexandria
Functional: PBE-GGA
Structure: relaxed

* calculated formation energy: -1 kJ/mol of formula units
* symmetry: No. 2

abc: 2.705 4.787 7.183
angles: 75.94 79.15 73.65
Fractional coordinates of all 6 atoms:
Pt 0.503 0.259 0.237
Re 0.156 0.761 0.423
Re 0.844 0.239 0.577
Pt 0.497 0.741 0.763
Cu 0.175 0.238 0.913
Cu 0.825 0.762 0.087

[7]
Compound: CuRePt
Source: Alexandria
Functional: PBE-GGA
Structure: relaxed

* calculated formation energy: 9 kJ/mol of formula units
* symmetry: No. 8

abc: 5.445 3.788 8.933
angles: 90.00 108.84 90.00
Fractional coordinates of all 12 atoms:
Re 0.014 0.500 0.887
Cu 0.378 0.000 0.060
Re 0.014 0.000 0.387
Re 0.733 0.500 0.253
Pt 0.237 0.500 0.229
Cu 0.378 0.500 0.560
Pt 0.872 0.500 0.569
Cu 0.533 0.000 0.411
Pt 0.872 0.000 0.069
Pt 0.237 0.000 0.729
Re 0.733 0.000 0.753
Cu 0.533 0.500 0.911

[8]
Compound: CuRe2Pt
Source: Alexandria
Functional: PBE-GGA
Structure: relaxed

* calculated formation energy: 78 kJ/mol of formula units
* symmetry: No. 166

abc: 9.067 9.067 9.067
angles: 17.41 17.41 17.41
Fractional coordinates of all 4 atoms:
Re 0.502 0.502 0.502
Pt 0.750 0.750 0.750
Cu 0.250 0.250 0.250
Re 0.998 0.998 0.998

[9]
Compound: CuRePt2
Source: Alexandria
Functional: PBE-GGA
Structure: relaxed

* calculated formation energy: -27 kJ/mol of formula units
* symmetry: No. 160

abc: 2.795 2.795 8.865
angles: 80.93 80.93 60.00
Fractional coordinates of all 4 atoms:
Re 0.500 0.500 0.500
Pt 0.251 0.251 0.248
Pt 0.083 0.083 0.752
Cu 0.667 0.667 0.000

[10]
Compound: CuRe2Pt
Source: Alexandria
Functional: PBE-GGA
Structure: relaxed

* calculated formation energy: 663 kJ/mol of formula units
* symmetry: No. 122

abc: 5.482 5.482 6.787
angles: 66.18 66.18 90.00
Fractional coordinates of all 8 atoms:
Pt 0.750 0.250 0.500
Re 0.137 0.625 0.250
Re 0.613 0.125 0.250
Re 0.875 0.863 0.750
Re 0.375 0.387 0.750
Cu 0.250 0.750 0.500
Pt 0.000 0.000 0.000
Cu 0.500 0.500 0.000

[11]
Compound: CuRe3Pt
Source: Alexandria
Functional: PBE-GGA
Structure: relaxed

* calculated formation energy: 892 kJ/mol of formula units
* symmetry: No. 221

abc: 4.393 4.393 4.393
angles: 90.00 90.00 90.00
Fractional coordinates of all 5 atoms:
Re 0.500 0.000 0.000
Cu 0.000 0.000 0.000
Re 0.000 0.000 0.500
Re 0.000 0.500 0.000
Pt 0.500 0.500 0.500

[12]
Compound: Cu4RePt
Source: Alexandria
Functional: PBE-GGA
Structure: relaxed

* calculated formation energy: 140 kJ/mol of formula units
* symmetry: No. 216

abc: 4.781 4.781 4.781
angles: 60.00 60.00 60.00
Each line ends with the local moment (μB).
Fractional coordinates of all 6 atoms:
Pt 0.250 0.250 0.250  0.19
Cu 0.625 0.625 0.124  0.06
Cu 0.625 0.625 0.625  0.06
Re 0.000 0.000 0.000  1.28
Cu 0.625 0.124 0.625  0.06
Cu 0.124 0.625 0.625  0.06

[13]
Compound: CuRePt2
Source: Alexandria
Functional: PBE-GGA
Structure: relaxed

* calculated formation energy: 11 kJ/mol of formula units
* symmetry: No. 12

abc: 4.715 4.715 4.810
angles: 81.61 81.61 33.65
Fractional coordinates of all 4 atoms:
Cu 0.250 0.250 0.250
Pt 0.002 0.002 0.997
Re 0.750 0.750 0.750
Pt 0.498 0.498 0.503

[14]
Compound: CuRePt2
Source: Alexandria
Functional: PBE-GGA
Structure: relaxed

* calculated formation energy: -62 kJ/mol of formula units
* symmetry: No. 123

abc: 2.770 2.770 7.588
angles: 90.00 90.00 90.00
Fractional coordinates of all 4 atoms:
Pt 0.000 0.000 0.248
Pt 0.000 0.000 0.752
Cu 0.500 0.500 0.000
Re 0.500 0.500 0.500

[15]
Compound: Cu4Re2Pt
Source: Alexandria
Functional: PBE-GGA
Structure: relaxed

* calculated formation energy: 923 kJ/mol of formula units
* symmetry: No. 139

abc: 4.663 4.663 6.906
angles: 70.27 70.27 90.00
Each line ends with the local moment (μB).
Fractional coordinates of all 7 atoms:
Cu 0.798 0.798 0.404  -0.01
Re 0.595 0.595 0.810  0.46
Pt 0.000 0.000 0.000  0.05
Cu 0.000 0.500 0.000  0.00
Re 0.405 0.405 0.190  0.46
Cu 0.202 0.202 0.596  -0.01
Cu 0.500 0.000 0.000  0.00

[16]
Compound: CuRePt
Source: Alexandria
Functional: PBE-GGA
Structure: relaxed

* calculated formation energy: 28 kJ/mol of formula units
* symmetry: No. 8

abc: 6.609 2.722 9.864
angles: 90.00 96.40 90.00
Fractional coordinates of all 12 atoms:
Cu 0.858 0.500 0.192
Pt 0.819 0.000 0.955
Pt 0.464 0.500 0.287
Cu 0.501 0.500 0.025
Re 0.192 0.000 0.114
Cu 0.858 0.000 0.692
Cu 0.501 0.000 0.525
Re 0.131 0.500 0.869
Pt 0.819 0.500 0.455
Re 0.192 0.500 0.614
Pt 0.464 0.000 0.787
Re 0.131 0.000 0.369

[17]
Compound: CuRePt2
Source: Alexandria
Functional: PBE-GGA
Structure: relaxed

* calculated formation energy: 89 kJ/mol of formula units
* symmetry: No. 225

abc: 4.392 4.392 4.392
angles: 60.00 60.00 60.00
Fractional coordinates of all 4 atoms:
Pt 0.250 0.250 0.250
Re 0.500 0.500 0.500
Cu 0.000 0.000 0.000
Pt 0.750 0.750 0.750

[18]
Compound: CuRe2Pt
Source: Alexandria
Functional: PBE-GGA
Structure: relaxed

* calculated formation energy: 44 kJ/mol of formula units
* symmetry: No. 119

abc: 4.692 4.692 4.695
angles: 130.92 130.91 71.94
Fractional coordinates of all 4 atoms:
Pt 0.250 0.750 0.500
Re 0.000 0.000 0.000
Re 0.750 0.250 0.500
Cu 0.500 0.500 0.000

[19]
Compound: CuRePt2
Source: Alexandria
Functional: PBE-GGA
Structure: relaxed

* calculated formation energy: -26 kJ/mol of formula units
* symmetry: No. 10

abc: 3.913 2.754 6.075
angles: 62.89 90.00 90.00
Fractional coordinates of all 4 atoms:
Pt 0.000 0.000 0.002
Re 0.500 0.250 0.250
Cu 0.500 0.750 0.750
Pt 0.000 0.500 0.498

[20]
Compound: CuRePt2
Source: Alexandria
Functional: PBE-GGA
Structure: relaxed

* calculated formation energy: -10 kJ/mol of formula units
* symmetry: No. 65

abc: 6.133 4.786 2.719
angles: 90.07 63.56 120.94
Fractional coordinates of all 4 atoms:
Pt 0.000 0.000 0.000
Cu 0.500 0.500 0.000
Pt 0.500 0.000 0.500
Re 0.000 0.500 0.500

[21]
Compound: CuRePt2
Source: Alexandria
Functional: PBE-GGA
Structure: relaxed

* calculated formation energy: 17 kJ/mol of formula units
* symmetry: No. 139

abc: 4.770 4.770 4.770
angles: 132.32 132.38 69.68
Each line ends with the local moment (μB).
Fractional coordinates of all 4 atoms:
Re 0.750 0.250 0.500  0.31
Pt 0.500 0.500 0.000  0.02
Cu 0.250 0.750 0.500  0.02
Pt 0.000 0.000 0.000  0.02

[22]
Compound: CuRe2Pt
Source: Alexandria
Functional: PBE-GGA
Structure: relaxed

* calculated formation energy: 84 kJ/mol of formula units
* symmetry: No. 65

abc: 5.877 4.902 2.679
angles: 90.00 62.88 118.36
Fractional coordinates of all 4 atoms:
Re 0.500 0.000 0.500
Cu 0.000 0.500 0.500
Pt 0.500 0.500 0.000
Re 0.000 0.000 0.000

[23]
Compound: CuRe2Pt
Source: Alexandria
Functional: PBE-GGA
Structure: relaxed

* calculated formation energy: 16 kJ/mol of formula units
* symmetry: No. 25

abc: 2.727 3.893 5.462
angles: 90.00 90.00 90.00
Fractional coordinates of all 4 atoms:
Cu 0.000 0.000 0.503
Re 0.500 0.500 0.246
Re 0.000 0.000 0.016
Pt 0.500 0.500 0.735

[24]
Compound: Cu2RePt9
Source: Alexandria
Functional: PBE-GGA
Structure: relaxed

* calculated formation energy: -111 kJ/mol of formula units
* symmetry: No. 123

abc: 3.922 3.922 11.741
angles: 90.00 90.00 90.00
Fractional coordinates of all 12 atoms:
Pt 0.500 0.000 0.500
Cu 0.000 0.000 0.336
Pt 0.500 0.500 0.334
Pt 0.000 0.500 0.166
Cu 0.000 0.000 0.664
Pt 0.000 0.500 0.834
Pt 0.500 0.000 0.834
Pt 0.000 0.500 0.500
Pt 0.500 0.500 0.000
Pt 0.500 0.500 0.666
Re 0.000 0.000 0.000
Pt 0.500 0.000 0.166

[25]
Compound: CuRe2Pt
Source: Alexandria
Functional: PBE-GGA
Structure: relaxed

* calculated formation energy: 79 kJ/mol of formula units
* symmetry: No. 123

abc: 3.734 3.732 4.160
angles: 90.00 90.00 90.00
Fractional coordinates of all 4 atoms:
Cu 0.500 0.000 0.500
Pt 0.000 0.500 0.500
Re 0.500 0.500 0.000
Re 0.000 0.000 0.000

[26]
Compound: CuRePt2
Source: Alexandria
Functional: PBE-GGA
Structure: relaxed

* calculated formation energy: -29 kJ/mol of formula units
* symmetry: No. 8

abc: 4.724 4.724 4.804
angles: 81.77 81.77 33.54
Fractional coordinates of all 4 atoms:
Pt 0.754 0.754 0.722
Pt 0.999 0.999 0.024
Re 0.499 0.499 0.514
Cu 0.248 0.248 0.240

[27]
Compound: Cu3RePt12
Source: Alexandria
Functional: PBE-GGA
Structure: relaxed

* calculated formation energy: -160 kJ/mol of formula units
* symmetry: No. 123

abc: 3.921 3.921 15.615
angles: 90.00 90.00 90.00
Fractional coordinates of all 16 atoms:
Pt 0.000 0.500 0.624
Pt 0.500 0.000 0.125
Pt 0.500 0.500 0.749
Cu 0.000 0.000 0.747
Cu 0.000 0.000 0.500
Pt 0.000 0.500 0.376
Pt 0.500 0.500 0.000
Pt 0.500 0.500 0.500
Pt 0.500 0.000 0.376
Cu 0.000 0.000 0.253
Pt 0.000 0.500 0.125
Re 0.000 0.000 0.000
Pt 0.500 0.000 0.624
Pt 0.000 0.500 0.875
Pt 0.500 0.500 0.251
Pt 0.500 0.000 0.875